Record 1
The following is a SCAN calculation of LaRuBr2 at its PBEsol-relaxed geometry, from Alexandria.

Structure (POSCAR):
```
LaRuBr2
1.0
3.6693 0.0000 0.0000
0.0000 3.6693 0.0000
0.0000 0.0000 6.5355
La Ru Br
1 1 2
Direct
0.0000 0.0000 0.0000
0.0000 0.0000 0.5000
0.5000 0.5000 0.2552
0.5000 0.5000 0.7448
```

Calculated values
**Raw formation energy**: -0.2272 eV per atom
**Electronic total energy**: -117.76 eV per cell


Record 2
The following is a SCAN calculation of Hg4PSe at its PBEsol-relaxed geometry, from Alexandria.

Structure (POSCAR):
```
Hg4PSe
1.0
0.0000 4.0530 4.0530
4.0530 0.0000 4.0530
4.0530 4.0530 0.0000
Hg P Se
4 1 1
Direct
0.1250 0.1250 0.1250
0.1250 0.1250 0.6251
0.1250 0.6251 0.1250
0.6251 0.1250 0.1250
0.7500 0.7500 0.7500
0.5000 0.5000 0.5000
```

Calculated values
**Raw formation energy**: 0.7119 eV per atom
**Electronic total energy**: -298.87 eV per cell


Record 3
The following is a SCAN calculation of TaSbMo3 at its PBEsol-relaxed geometry, from Alexandria.

Structure (POSCAR):
```
TaSbMo3
1.0
4.7441 0.0000 0.0000
0.0000 4.7441 0.0000
0.0000 0.0000 4.7441
Ta Sb Mo
1 1 3
Direct
0.0000 0.0000 0.0000
0.5000 0.5000 0.5000
0.0000 0.5000 0.5000
0.5000 0.0000 0.5000
0.5000 0.5000 0.0000
```

Calculated values
**Raw formation energy**: 2.1342 eV per atom
**Electronic total energy**: -197.83 eV per cell


Record 4
The following is a SCAN calculation of Be2CdFeOs at its PBEsol-relaxed geometry, from Alexandria.

Structure (POSCAR):
```
Be2CdFeOs
1.0
4.0366 0.0000 0.0000
0.0000 4.0366 0.0000
0.0000 0.0000 4.3552
Be Cd Fe Os
2 1 1 1
Direct
0.0000 0.5000 0.0000
0.5000 0.0000 0.0000
0.0000 0.0000 0.5000
0.5000 0.5000 0.0000
0.5000 0.5000 0.5000
```

Calculated values
**Electronic total energy**: -124.86 eV per cell
**Formation energy**: 0.854 eV/atom


Record 5
The following is a SCAN calculation of CoCuSb2 at its PBEsol-relaxed geometry, from Alexandria.

Structure (POSCAR):
```
CoCuSb2
1.0
3.9359 0.0000 0.0000
0.0000 3.5746 0.0000
0.0000 0.0000 9.5186
Co Cu Sb
2 2 4
Direct
0.0000 0.0000 0.0000
0.0000 0.5000 0.5000
0.5000 0.0000 0.8383
0.5000 0.5000 0.3383
0.0000 0.0000 0.2822
0.0000 0.5000 0.7822
0.5000 0.0000 0.5614
0.5000 0.5000 0.0614
```

Calculated values
**Raw formation energy**: 0.1782 eV per atom
**Electronic total energy**: -212.62 eV per cell


Record 6
The following is a SCAN calculation of MnZnSiO5 at its PBEsol-relaxed geometry, from Alexandria.

Structure (POSCAR):
```
MnZnSiO5
1.0
5.1164 0.0000 0.0000
-1.1471 5.1806 0.0000
-1.9620 -2.4159 6.2011
Mn Zn Si O
2 2 2 10
Direct
0.0000 0.0000 0.0000
0.0000 0.0000 0.5000
0.2954 0.6734 0.2694
0.7046 0.3266 0.7306
0.3150 0.6626 0.7652
0.6850 0.3374 0.2348
0.0644 0.6567 0.8726
0.1231 0.9642 0.2679
0.2452 0.7943 0.5756
0.3172 0.3419 0.6564
0.3694 0.1966 0.0467
0.6306 0.8034 0.9533
0.6828 0.6581 0.3436
0.7548 0.2057 0.4244
0.8769 0.0358 0.7321
0.9356 0.3433 0.1274
```

Calculated values
**Raw formation energy**: -2.2932 eV per atom
**Electronic total energy**: -182.58 eV per cell


Record 7
The following is a SCAN calculation of HfIr2OsPt at its PBEsol-relaxed geometry, from Alexandria.

Structure (POSCAR):
```
HfIr2OsPt
1.0
4.6649 0.0000 0.0000
0.0000 4.6649 0.0000
0.0000 0.0000 4.7133
Hf Ir Os Pt
1 2 1 1
Direct
0.0000 0.0000 0.0000
0.0000 0.5000 0.0000
0.5000 0.0000 0.0000
0.5000 0.5000 0.5000
0.0000 0.0000 0.5000
```

Calculated values
**Electronic total energy**: -336.52 eV per cell
**Formation energy**: 2.085 eV/atom


Record 8
The following is a SCAN calculation of HfZn2Cu2 at its PBEsol-relaxed geometry, from Alexandria.

Structure (POSCAR):
```
HfZn2Cu2
1.0
3.5890 0.0000 0.0000
0.0000 3.5890 0.0000
0.0000 0.0000 11.3564
Hf Zn Cu
2 4 4
Direct
0.0000 0.0000 0.0000
0.5000 0.5000 0.5000
0.0000 0.5000 0.2500
0.0000 0.5000 0.7500
0.5000 0.0000 0.2500
0.5000 0.0000 0.7500
0.0000 0.0000 0.3986
0.0000 0.0000 0.6014
0.5000 0.5000 0.1014
0.5000 0.5000 0.8986
```

Calculated values
**Electronic total energy**: -241.40 eV per cell
**Formation energy**: -0.119 eV/atom


Record 9
The following is a SCAN calculation of HgBiMo3 at its PBEsol-relaxed geometry, from Alexandria.

Structure (POSCAR):
```
HgBiMo3
1.0
4.9571 0.0000 0.0000
0.0000 4.9571 0.0000
0.0000 0.0000 4.9571
Hg Bi Mo
1 1 3
Direct
0.0000 0.0000 0.0000
0.5000 0.5000 0.5000
0.0000 0.5000 0.5000
0.5000 0.0000 0.5000
0.5000 0.5000 0.0000
```

Calculated values
**Electronic total energy**: -238.78 eV per cell
**Formation energy**: 2.525 eV/atom


Record 10
The following is a SCAN calculation of AgMo2Au at its PBEsol-relaxed geometry, from Alexandria.

Structure (POSCAR):
```
AgMo2Au
1.0
2.7668 0.0000 0.0000
-1.3834 2.3961 0.0000
0.0000 0.0000 28.9105
Ag Mo Au
3 6 3
Direct
0.0000 0.0000 0.0000
0.3333 0.6667 0.6667
0.6667 0.3333 0.3333
0.0000 0.0000 0.2493
0.0000 0.0000 0.5006
0.3333 0.6667 0.1673
0.3333 0.6667 0.9160
0.6667 0.3333 0.5826
0.6667 0.3333 0.8339
0.0000 0.0000 0.7515
0.3333 0.6667 0.4181
0.6667 0.3333 0.0848
```

Calculated values
**Electronic total energy**: -507.00 eV per cell
**Formation energy**: 0.323 eV/atom


Record 11
The following is a SCAN calculation of LiCa2CuN2 at its PBEsol-relaxed geometry, from Alexandria.

Structure (POSCAR):
```
LiCa2CuN2
1.0
5.2429 0.0000 0.0000
0.0000 5.2429 0.0000
0.0000 0.0000 6.5282
Li Ca Cu N
2 4 2 4
Direct
0.0000 0.0000 0.0000
0.5000 0.5000 0.5000
0.0000 0.5000 0.2500
0.0000 0.5000 0.7500
0.5000 0.0000 0.2500
0.5000 0.0000 0.7500
0.0000 0.0000 0.5000
0.5000 0.5000 0.0000
0.2476 0.2476 0.5000
0.2524 0.7476 0.0000
0.7476 0.2524 0.0000
0.7524 0.7524 0.5000
```

Calculated values
**Raw formation energy**: -0.7887 eV per atom
**Electronic total energy**: -120.46 eV per cell


Record 12
The following is a SCAN calculation of Zr3GaPd at its PBEsol-relaxed geometry, from Alexandria.

Structure (POSCAR):
```
Zr3GaPd
1.0
4.9599 0.0000 0.0000
0.0000 4.9599 0.0000
0.0000 0.0000 4.9599
Zr Ga Pd
3 1 1
Direct
0.0000 0.0000 0.5000
0.0000 0.5000 0.0000
0.5000 0.0000 0.0000
0.5000 0.5000 0.5000
0.0000 0.0000 0.0000
```

Calculated values
**Electronic total energy**: -139.97 eV per cell
**Formation energy**: 0.250 eV/atom


Record 13
The following is a SCAN calculation of BaIn2PdO at its PBEsol-relaxed geometry, from Alexandria.

Structure (POSCAR):
```
BaIn2PdO
1.0
6.5639 0.0000 0.0000
0.0000 6.5639 0.0000
0.0000 0.0000 5.2509
Ba In Pd O
1 2 1 1
Direct
0.0000 0.0000 0.0000
0.0000 0.5000 0.0000
0.5000 0.0000 0.0000
0.0000 0.0000 0.5000
0.5000 0.5000 0.5000
```

Calculated values
**Raw formation energy**: 1.2650 eV per atom
**Electronic total energy**: -139.00 eV per cell


Record 14
The following is a SCAN calculation of PrAl2Ni at its PBEsol-relaxed geometry, from Alexandria.

Structure (POSCAR):
```
PrAl2Ni
1.0
4.0388 0.0000 0.0000
0.0000 10.8773 0.0000
0.0000 0.0000 6.8535
Pr Al Ni
4 8 4
Direct
0.0000 0.0535 0.2500
0.0000 0.9465 0.7500
0.5000 0.4465 0.7500
0.5000 0.5535 0.2500
0.0000 0.3304 0.0567
0.0000 0.3304 0.4433
0.0000 0.6696 0.5567
0.0000 0.6696 0.9433
0.5000 0.1696 0.5567
0.5000 0.1696 0.9433
0.5000 0.8304 0.0567
0.5000 0.8304 0.4433
0.0000 0.2185 0.7500
0.0000 0.7815 0.2500
0.5000 0.2815 0.2500
0.5000 0.7185 0.7500
```

Calculated values
**Electronic total energy**: -310.28 eV per cell
**Formation energy**: -0.641 eV/atom


Record 15
The following is a SCAN calculation of Sc3TaRu at its PBEsol-relaxed geometry, from Alexandria.

Structure (POSCAR):
```
Sc3TaRu
1.0
4.8086 0.0000 0.0000
0.0000 4.8086 0.0000
0.0000 0.0000 4.8086
Sc Ta Ru
3 1 1
Direct
0.0000 0.0000 0.5000
0.0000 0.5000 0.0000
0.5000 0.0000 0.0000
0.5000 0.5000 0.5000
0.0000 0.0000 0.0000
```

Calculated values
**Electronic total energy**: -141.89 eV per cell
**Formation energy**: 0.446 eV/atom


Record 16
The following is a SCAN calculation of CsTlOs2 at its PBEsol-relaxed geometry, from Alexandria.

Structure (POSCAR):
```
CsTlOs2
1.0
6.7912 0.0000 0.0000
0.0000 6.7912 0.0000
0.0000 0.0000 6.7912
Cs Tl Os
4 4 8
Direct
0.0000 0.0000 0.0000
0.0000 0.5000 0.5000
0.5000 0.0000 0.5000
0.5000 0.5000 0.0000
0.0000 0.0000 0.5000
0.0000 0.5000 0.0000
0.5000 0.0000 0.0000
0.5000 0.5000 0.5000
0.2500 0.2500 0.2500
0.2500 0.2500 0.7500
0.2500 0.7500 0.2500
0.2500 0.7500 0.7500
0.7500 0.2500 0.2500
0.7500 0.2500 0.7500
0.7500 0.7500 0.2500
0.7500 0.7500 0.7500
```

Calculated values
**Electronic total energy**: -976.36 eV per cell
**Formation energy**: 2.460 eV/atom


Record 17
The following is a SCAN calculation of MnCoTe2F at its PBEsol-relaxed geometry, from Alexandria.

Structure (POSCAR):
```
MnCoTe2F
1.0
4.7386 0.0000 0.0000
0.0000 4.7386 0.0000
0.0000 0.0000 4.7674
Mn Co Te F
1 1 2 1
Direct
0.0000 0.0000 0.0000
0.0000 0.0000 0.5000
0.0000 0.5000 0.5000
0.5000 0.0000 0.5000
0.5000 0.5000 0.0000
```

Calculated values
**Raw formation energy**: -0.0889 eV per atom
**Electronic total energy**: -114.05 eV per cell


Record 18
The following is a SCAN calculation of Te2Au at its PBEsol-relaxed geometry, from Alexandria.

Structure (POSCAR):
```
Te2Au
1.0
13.4733 0.0000 0.0000
0.0000 3.9489 0.0000
-1.7452 0.0000 7.6980
Te Au
8 4
Direct
0.0846 0.0000 0.4181
0.2427 0.5000 0.1576
0.2573 0.0000 0.8424
0.4154 0.5000 0.5819
0.5846 0.5000 0.4181
0.7427 0.0000 0.1576
0.7573 0.5000 0.8424
0.9154 0.0000 0.5819
0.1731 0.5000 0.6285
0.3269 0.0000 0.3715
0.6731 0.0000 0.6285
0.8269 0.5000 0.3715
```

Calculated values
**Raw formation energy**: -0.0849 eV per atom
**Electronic total energy**: -575.66 eV per cell


Record 19
The following is a SCAN calculation of Be2Au at its PBEsol-relaxed geometry, from Alexandria.

Structure (POSCAR):
```
Be2Au
1.0
2.7158 0.0000 0.0000
-1.3579 2.3519 0.0000
0.0000 0.0000 5.7067
Be Au
2 1
Direct
0.3333 0.6667 0.3516
0.6667 0.3333 0.6484
0.0000 0.0000 0.0000
```

Calculated values
**Electronic total energy**: -77.38 eV per cell
**Formation energy**: 0.162 eV/atom


Record 20
The following is a SCAN calculation of LuTiO3 at its PBEsol-relaxed geometry, from Alexandria.

Structure (POSCAR):
```
LuTiO3
1.0
5.5896 0.0000 0.0000
0.0000 7.4944 0.0000
0.0000 0.0000 5.1800
Lu Ti O
4 4 12
Direct
0.0762 0.2500 0.0253
0.4238 0.7500 0.5253
0.5762 0.2500 0.4747
0.9238 0.7500 0.9747
0.0000 0.0000 0.5000
0.0000 0.5000 0.5000
0.5000 0.0000 0.0000
0.5000 0.5000 0.0000
0.0556 0.7500 0.3641
0.1938 0.5637 0.8153
0.1938 0.9363 0.8153
0.3062 0.0637 0.3153
0.3062 0.4363 0.3153
0.4444 0.2500 0.8641
0.5556 0.7500 0.1359
0.6938 0.5637 0.6847
0.6938 0.9363 0.6847
0.8062 0.0637 0.1847
0.8062 0.4363 0.1847
0.9444 0.2500 0.6359
```

Calculated values
**Raw formation energy**: -3.5871 eV per atom
**Electronic total energy**: -432.01 eV per cell